(1)
Here is a geometry-optimized La3Nd2Hg3 structure from Alexandria. Energies are from GGA-PBE.

total magnetic moment	0.00	μB per cell
formation enthalpy at 0 K	-8.56	kcal/mol of atoms
calculated total energy	-28.2	eV/cell

abc: 3.884 5.611 11.962
angles: 103.56 99.34 90.00
Positions (direct):
Nd1 0.266 0.766 0.533
Nd2 0.734 0.234 0.467
Hg1 0.121 0.121 0.242
Hg2 0.000 0.500 0.000
Hg3 0.879 0.879 0.758
La1 0.500 0.000 0.000
La2 0.379 0.379 0.758
La3 0.621 0.621 0.242


(2)
Here is a geometry-optimized La4Nd2Hg structure from Alexandria. Energies are from GGA-PBE.

total magnetic moment	0.00	μB per cell
formation enthalpy at 0 K	-0.66	kcal/mol of atoms
calculated total energy	-29.7	eV/cell

abc: 3.655 8.788 8.731
angles: 116.71 102.08 90.00
Positions (direct):
Hg1 0.000 0.000 0.000
Nd1 0.216 0.140 0.432
Nd2 0.784 0.860 0.568
La1 0.918 0.301 0.835
La2 0.626 0.376 0.253
La3 0.374 0.624 0.747
La4 0.082 0.699 0.165


(3)
Here is a geometry-optimized LaNd2Hg structure from Alexandria. Energies are from GGA-PBE.

E above lowest polymorph	101	meV per atom
total magnetic moment	0.00	μB per cell
formation enthalpy at 0 K	-3.10	kcal/mol of atoms
calculated total energy	-15.3	eV/cell

abc: 3.755 3.755 11.220
angles: 80.41 80.41 60.04
Positions (direct):
Nd1 0.074 0.074 0.778
Nd2 0.259 0.259 0.222
La1 0.500 0.500 0.500
Hg1 0.667 0.667 0.000


(4)
Here is a geometry-optimized La4NdHg3 structure from Alexandria. Energies are from GGA-PBE.

total magnetic moment	0.76	μB per cell
formation enthalpy at 0 K	-7.62	kcal/mol of atoms
calculated total energy	-28.0	eV/cell

abc: 3.792 5.667 11.544
angles: 90.00 90.00 90.00
Site moments in Bohr magnetons follow the coordinates.
Positions (direct):
La1 0.000 0.000 0.500  0.13
La2 0.000 0.500 0.265  0.08
La3 0.000 0.000 0.000  0.02
La4 0.000 0.500 0.735  0.08
Nd1 0.500 0.500 0.000  0.04
Hg1 0.500 0.500 0.500  0.01
Hg2 0.500 0.000 0.241  0.00
Hg3 0.500 0.000 0.759  0.00